VASP calculation (GGA-PBE) on a relaxed structure of NbPd2Au.

abc: 2.837 6.841 7.219
angles: 93.97 90.00 101.97
Element x y z (fractional)
Nb  0.638  0.276  0.939
Nb  0.362  0.724  0.061
Au  0.601  0.203  0.551
Au  0.399  0.797  0.449
Pd  0.730  0.460  0.267
Pd  0.967  0.933  0.804
Pd  0.270  0.540  0.733
Pd  0.033  0.067  0.196

Summary:
Excess energy over the best structure of this formula in the dataset, eV/atom: 0.143
E_tot, eV per atom: -6.11


VASP calculation (GGA-PBE) on a relaxed structure of NbPd3Au.

abc: 4.856 4.856 4.856
angles: 90.00 90.00 90.00
Element x y z (fractional)
Nb  0.500  0.500  0.500
Pd  0.500  0.000  0.000
Pd  0.000  0.500  0.000
Pd  0.000  0.000  0.500
Au  0.000  0.000  0.000

Summary:
Excess energy over the best structure of this formula in the dataset, eV/atom: 1.656
E_tot, eV per atom: -4.38


VASP calculation (GGA-PBE) on a relaxed structure of NbPd2Au.

abc: 5.117 7.225 7.236
angles: 90.00 90.00 90.00
Element x y z (fractional)
Pd  0.250  0.377  0.014
Pd  0.500  0.500  0.639
Pd  0.250  0.877  0.514
Pd  0.500  0.000  0.139
Pd  0.750  0.123  0.514
Pd  0.750  0.623  0.014
Pd  0.000  0.000  0.139
Pd  0.000  0.500  0.639
Nb  0.750  0.754  0.388
Nb  0.250  0.246  0.388
Nb  0.250  0.746  0.888
Nb  0.750  0.254  0.888
Au  0.250  0.128  0.764
Au  0.750  0.372  0.264
Au  0.250  0.628  0.264
Au  0.750  0.872  0.764

Summary:
Excess energy over the best structure of this formula in the dataset, eV/atom: 0.062
E_tot, eV per atom: -6.20


VASP calculation (GGA-PBE) on a relaxed structure of NbPdAu3.

abc: 4.856 4.856 8.757
angles: 90.00 90.00 114.10
Element x y z (fractional)
Au  0.251  0.577  0.948
Au  0.251  0.577  0.552
Au  0.577  0.251  0.448
Au  0.068  0.309  0.250
Au  0.309  0.068  0.750
Au  0.577  0.251  0.052
Nb  0.922  0.922  0.000
Nb  0.922  0.922  0.500
Pd  0.767  0.595  0.750
Pd  0.595  0.767  0.250

Summary:
Excess energy over the best structure of this formula in the dataset, eV/atom: 0.031
E_tot, eV per atom: -4.97


VASP calculation (GGA-PBE) on a relaxed structure of NbPd6Au.

abc: 3.988 3.988 7.985
angles: 90.00 90.00 90.00
Element x y z (fractional)
Pd  0.500  0.500  0.000
Pd  0.500  0.000  0.260
Pd  0.500  0.500  0.500
Pd  0.000  0.500  0.260
Pd  0.000  0.500  0.740
Pd  0.500  0.000  0.740
Nb  0.000  0.000  0.500
Au  0.000  0.000  0.000

Summary:
Excess energy over the best structure of this formula in the dataset, eV/atom: 0.000
E_tot, eV per atom: -5.87


VASP calculation (GGA-PBE) on a relaxed structure of Nb2Pd2Au.

abc: 2.798 4.342 7.256
angles: 107.41 90.00 90.00
Element x y z (fractional)
Pd  0.000  0.804  0.608
Pd  0.000  0.196  0.392
Au  0.000  0.000  0.000
Nb  0.500  0.616  0.232
Nb  0.500  0.384  0.768

Summary:
Excess energy over the best structure of this formula in the dataset, eV/atom: 0.000
E_tot, eV per atom: -6.99


VASP calculation (GGA-PBE) on a relaxed structure of NbPd3Au4.

abc: 4.808 2.959 10.865
angles: 114.11 102.78 90.00
Element x y z (fractional)
Au  0.878  0.633  0.755
Au  0.629  0.889  0.259
Au  0.122  0.367  0.245
Au  0.371  0.111  0.741
Pd  0.753  0.761  0.507
Pd  0.000  0.500  0.000
Pd  0.247  0.239  0.493
Nb  0.500  0.000  0.000

Summary:
E_tot, eV per atom: -4.86


VASP calculation (GGA-PBE) on a relaxed structure of NbPd9Au2.

abc: 3.991 3.991 12.004
angles: 90.00 90.00 90.00
Element x y z (fractional)
Pd  0.500  0.500  0.000
Pd  0.500  0.500  0.329
Pd  0.500  0.000  0.500
Pd  0.000  0.500  0.159
Pd  0.500  0.000  0.159
Pd  0.500  0.500  0.671
Pd  0.500  0.000  0.841
Pd  0.000  0.500  0.500
Pd  0.000  0.500  0.841
Nb  0.000  0.000  0.000
Au  0.000  0.000  0.333
Au  0.000  0.000  0.667

Summary:
E_tot, eV per atom: -5.49